Entry from Alexandria via LeMat-Bulk: an optimized crystal structure of Sm2AlZn12Ni3 (PBE-GGA).

V (Å³/atom): 16.53
Final energy (eV for the cell shown): -46.34
Symmetry: R-3m, No. 166
Calculated formation energy (eV/atom): -0.03

abc: 6.7013 6.7013 6.7013
angles: 84.85 84.85 84.85
Atoms (fractional coordinates):
Zn 0.8016 0.8016 0.2827
Zn 0.1984 0.7173 0.1984
Zn 0.1588 0.5701 0.5701
Zn 0.4299 0.4299 0.8412
Zn 0.5701 0.5701 0.1588
Zn 0.5701 0.1588 0.5701
Zn 0.8016 0.2827 0.8016
Zn 0.2827 0.8016 0.8016
Zn 0.1984 0.1984 0.7173
Zn 0.4299 0.8412 0.4299
Zn 0.7173 0.1984 0.1984
Zn 0.8412 0.4299 0.4299
Sm 0.7552 0.7552 0.7552
Sm 0.2448 0.2448 0.2448
Ni 0.5000 0.0000 0.0000
Ni 0.0000 0.0000 0.5000
Ni 0.0000 0.5000 0.0000
Al 0.0000 0.0000 0.0000